[1]
# AcNdH PBE optimized geometry
# offset from the most stable computed form	101.4	meV per atom
data_AcNdH
_cell_length_a 3.612
_cell_length_b 3.612
_cell_length_c 13.112
_cell_angle_alpha 90.00
_cell_angle_beta 90.00
_cell_angle_gamma 90.00
_space_group_name_H-M_alt 'I 4 m m'
_space_group_IT_number 107
_space_group_name_Hall 'I 4 -2'
loop_
_atom_site_label
_atom_site_type_symbol
_atom_site_fract_x
_atom_site_fract_y
_atom_site_fract_z
Ac1 Ac 0.000 0.000 0.000
Nd1 Nd 0.000 0.000 0.712
H1 H 0.000 0.000 0.191

***

[2]
# ZrTlHg2 PBE optimized geometry
# E_form	79	meV/atom
data_ZrTlHg2
_cell_length_a 3.497
_cell_length_b 3.497
_cell_length_c 7.740
_cell_angle_alpha 90.00
_cell_angle_beta 90.00
_cell_angle_gamma 90.00
_space_group_name_H-M_alt 'P 4 m m'
_space_group_IT_number 99
loop_
_space_group_symop_operation_xyz
'x,y,z'
'-y,x,z'
'-x,-y,z'
'y,-x,z'
'-x,y,z'
'y,x,z'
'x,-y,z'
'-y,-x,z'
loop_
_atom_site_label
_atom_site_type_symbol
_atom_site_fract_x
_atom_site_fract_y
_atom_site_fract_z
Zr1 Zr 0.000 0.000 0.000
Tl1 Tl 0.500 0.500 0.743
Hg1 Hg 0.000 0.000 0.473
Hg2 Hg 0.500 0.500 0.229

***

[3]
# PmErTh PBE optimized geometry
# E_form	959	meV/atom
# offset from the most stable computed form	933.7	meV per atom
data_PmErTh
_cell_length_a 8.850
_cell_length_b 9.105
_cell_length_c 5.721
_cell_angle_alpha 90.00
_cell_angle_beta 90.00
_cell_angle_gamma 90.00
_space_group_name_H-M_alt 'C m m m'
_space_group_IT_number 65
_space_group_name_Hall '-C 2 2'
loop_
_atom_site_label
_atom_site_type_symbol
_atom_site_fract_x
_atom_site_fract_y
_atom_site_fract_z
Pm1 Pm 0.175 0.000 0.000
Er1 Er 0.000 0.000 0.500
Er2 Er 0.000 0.500 0.000
Th1 Th 0.000 0.325 0.500

***

[4]
# In2SbMo PBE optimized geometry
# energy relative to the elements, uncorrected	0.43	eV per atom
data_In2SbMo
_cell_length_a 3.108
_cell_length_b 3.108
_cell_length_c 9.373
_cell_angle_alpha 90.00
_cell_angle_beta 90.00
_cell_angle_gamma 90.00
_space_group_name_H-M_alt 'P 4/m m m'
_space_group_IT_number 123
_space_group_name_Hall '-P 4 2'
loop_
_atom_site_label
_atom_site_type_symbol
_atom_site_fract_x
_atom_site_fract_y
_atom_site_fract_z
In1 In 0.000 0.000 0.207
Sb1 Sb 0.500 0.500 0.500
Mo1 Mo 0.500 0.500 0.000

***

[5]
# ZrAlFeTc2 PBE optimized geometry
# E_form	2170	meV/atom
data_ZrAlFeTc2
_cell_length_a 4.700
_cell_length_b 4.700
_cell_length_c 5.020
_cell_angle_alpha 90.00
_cell_angle_beta 90.00
_cell_angle_gamma 90.00
_space_group_name_H-M_alt 'P 4/m m m'
_space_group_IT_number 123
_space_group_name_Hall '-P 4 2'
loop_
_atom_site_label
_atom_site_type_symbol
_atom_site_fract_x
_atom_site_fract_y
_atom_site_fract_z
Zr1 Zr 0.000 0.000 0.000
Al1 Al 0.000 0.000 0.500
Fe1 Fe 0.500 0.500 0.500
Tc1 Tc 0.000 0.500 0.000

***

[6]
# CrSn PBE optimized geometry
# E_form	449	meV/atom
data_CrSn
_cell_length_a 2.959
_cell_length_b 4.370
_cell_length_c 6.506
_cell_angle_alpha 90.00
_cell_angle_beta 94.47
_cell_angle_gamma 90.00
_space_group_name_H-M_alt 'P 1 2/m 1'
_space_group_IT_number 10
loop_
_space_group_symop_operation_xyz
'x,y,z'
'-x,-y,-z'
'-x,y,-z'
'x,-y,z'
loop_
_atom_site_label
_atom_site_type_symbol
_atom_site_fract_x
_atom_site_fract_y
_atom_site_fract_z
Cr1 Cr 0.072 0.000 0.362
Sn1 Sn 0.430 0.500 0.768